! SCAN SrLa2Cr, single point on PBEsol structure; values from VASP
! Magnetic moment (μB per atom): 0.871
! ΔE_f (eV/atom): 0.23
! E (eV per atom): -31.491
&SYSTEM
  ibrav = 0, nat = 4, ntyp = 3
/
ATOMIC_SPECIES
Sr 87.62 Sr.upf
La 138.91 La.upf
Cr 52.00 Cr.upf
ATOMIC_POSITIONS crystal
Sr 0.000 0.000 0.000
La 0.000 0.000 0.405
La 0.500 0.500 0.667
Cr 0.500 0.500 0.232
CELL_PARAMETERS angstrom
3.749 0.000 0.000
0.000 3.749 0.000
0.000 0.000 9.176